Density functional theory data (GGA-PBE) for an optimized crystal structure of RbPa2Tl2O7.

For the density of states at the Fermi level, the calculation gives 1.87 states/eV/f.u. The formation energy without anion corrections is -2.477 eV per atom.

abc: 4.3892 4.4145 12.1924
angles: 100.43 111.73 90.00
Fractional coordinates of all 12 atoms:
O (0.1187, 0.3027, 0.6056)
O (0.5000, 0.5000, 0.0000)
O (0.3058, 0.8989, 0.7978)
O (0.1934, 0.5958, 0.1917)
O (0.8066, 0.4042, 0.8083)
O (0.8813, 0.6972, 0.3944)
O (0.6942, 0.1010, 0.2022)
Pa (0.2951, 0.4008, 0.8016)
Pa (0.7049, 0.5991, 0.1984)
Tl (0.6323, 0.2137, 0.4273)
Tl (0.3677, 0.7863, 0.5728)
Rb (0.0000, 0.0000, 0.0000)